Compound: Mn2SnP3O12
Source: the Alexandria database
Functional: GGA-PBEsol
Structure: relaxed

The structure belongs to space group R-3c (No. 167, hexagonal axes); the cell edges are 8.6799, 8.6799 and 20.4956 Å and the angles 90.00°, 90.00° and 120.00°. The distinct sites, in fractional coordinates, are Mn at (0.0000, 0.0000, 0.1500), Sn at (0.0000, 0.0000, 0.0000), P at (0.0000, 0.2992, 0.2500), O at (0.0050, 0.1735, 0.9267) and O at (0.0098, 0.2101, 0.3119).

For the energy, the calculation gives -7.67 eV/atom. As for the theoretical density: 3.83 g cm⁻³. As for the magnetization: 54.001 Bohr magnetons per cell.

Compound: SrAg2Se
Source: the Alexandria database
Functional: GGA-PBEsol
Structure: relaxed

The structure belongs to space group P4/mmm (No. 123); the cell edges are 4.1321, 4.1321 and 5.3668 Å and the angles 90.00°, 90.00° and 90.00°. The distinct sites, in fractional coordinates, are Sr at (0.0000, 0.0000, 0.0000), Ag at (0.0000, 0.5000, 0.5000) and Se at (0.5000, 0.5000, 0.0000).

For the energy, the calculation gives -3.60 eV/atom. As for the theoretical density: 6.93 g cm⁻³. As for the magnetization: 0.000 Bohr magnetons per cell.

| no. | formation energy (no corrections) (eV per atom) |
| --- | --- |
| 1 | -1.89 |
| 2 | -0.52 |